Record 1
A relaxed structure of Dy14HoZr, computed with PBE.

Total moment ... 0.00 μB per formula unit
Uncorrected energy ... -76.997 eV per cell
ΔE_f ... 54 kJ/mol of formula units

a b c (Å): 7.0359 7.0359 9.9252
angles (deg): 90.00 90.00 90.00
With the nearest neighbours (Å) after each atom.
Sites, in units of the cell vectors:
Dy: 0.3750 0.6250 0.5000  12 Dy 3.52-3.58
Dy: 0.8750 0.1250 0.5000  12 Dy 3.52
Dy: 0.8750 0.6249 0.0000  8 Dy 3.48, 2 Zr 3.52, 2 Ho 3.52
Dy: 0.8750 0.6250 0.5000  12 Dy 3.52-3.55
Dy: 0.3751 0.1250 0.0000  8 Dy 3.48, 2 Zr 3.52, 2 Ho 3.52
Dy: 0.3750 0.1250 0.5000  12 Dy 3.52-3.55
Dy: 0.6297 0.8797 0.7552  1 Zr 3.44, 10 Dy 3.45-3.58, 1 Ho 3.51
Dy: 0.6297 0.8797 0.2448  1 Zr 3.44, 10 Dy 3.45-3.58, 1 Ho 3.51
Dy: 0.1203 0.3703 0.7552  1 Zr 3.44, 10 Dy 3.45-3.58, 1 Ho 3.51
Dy: 0.1203 0.3703 0.2448  1 Zr 3.44, 10 Dy 3.45-3.58, 1 Ho 3.51
Dy: 0.1203 0.8797 0.7553  1 Zr 3.44, 10 Dy 3.45-3.58, 1 Ho 3.51
Dy: 0.1203 0.8797 0.2447  1 Zr 3.44, 10 Dy 3.45-3.58, 1 Ho 3.51
Dy: 0.6297 0.3703 0.7552  1 Zr 3.44, 10 Dy 3.45-3.58, 1 Ho 3.51
Dy: 0.6297 0.3703 0.2448  1 Zr 3.44, 10 Dy 3.45-3.58, 1 Ho 3.51
Ho: 0.3750 0.6250 0.0000  12 Dy 3.51-3.52
Zr: 0.8750 0.1250 0.0000  12 Dy 3.44-3.52



Record 2
A relaxed structure of DyHoZr2, computed with PBE.

Total moment ... 0.00 μB per formula unit
Uncorrected energy ... -25.853 eV per cell
ΔE_f ... 41 kJ/mol of formula units
Polymorph energy (0 for the lowest one) ... 0.10 eV/f.u.

a b c (Å): 3.3656 3.3656 10.9926
angles (deg): 81.20 81.20 60.01
With the nearest neighbours (Å) after each atom.
Sites, in units of the cell vectors:
Dy: 0.6670 0.6670 0.9994  6 Zr 3.33-3.35, 6 Dy 3.37
Ho: 0.5000 0.5000 0.5001  6 Zr 3.32, 6 Ho 3.37
Zr: 0.0836 0.0836 0.7492  3 Ho 3.32, 3 Dy 3.33, 6 Zr 3.37
Zr: 0.2494 0.2494 0.2513  3 Ho 3.32, 3 Dy 3.35, 6 Zr 3.37



Record 3
A relaxed structure of DyHo4Zr, computed with PBE.

Total moment ... 0.00 μB per formula unit
Uncorrected energy ... -61.281 eV per cell
ΔE_f ... 79 kJ/mol of formula units
Polymorph energy (0 for the lowest one) ... 0.49 eV/f.u.

a b c (Å): 6.2255 8.9302 8.3304
angles (deg): 113.45 100.12 111.68
With the nearest neighbours (Å) after each atom.
Sites, in units of the cell vectors:
Dy: 0.3430 0.5930 0.1860  10 Ho 3.42-3.67
Dy: 0.6570 0.4070 0.8140  10 Ho 3.42-3.67
Ho: 0.0404 0.1750 0.7696  2 Zr 3.27-3.32, 4 Ho 3.35-3.64, 2 Dy 3.42-3.49
Ho: 0.7575 0.7178 0.6248  2 Zr 3.15-3.20, 4 Ho 3.35-3.43
Ho: 0.2292 0.5946 0.7696  2 Zr 3.27-3.32, 4 Ho 3.35-3.64, 2 Dy 3.42-3.49
Ho: 0.3673 0.9070 0.6248  2 Zr 3.15-3.20, 4 Ho 3.35-3.43
Ho: 0.6327 0.0930 0.3752  2 Zr 3.15-3.20, 4 Ho 3.35-3.43
Ho: 0.7708 0.4054 0.2304  2 Zr 3.27-3.32, 4 Ho 3.35-3.64, 2 Dy 3.42-3.49
Ho: 0.2425 0.2822 0.3752  2 Zr 3.15-3.20, 4 Ho 3.35-3.43
Ho: 0.9596 0.8250 0.2304  2 Zr 3.27-3.32, 4 Ho 3.35-3.64, 2 Dy 3.42-3.49
Zr: 0.2470 0.9970 0.9940  2 Zr 3.11, 8 Ho 3.15-3.32
Zr: 0.7530 0.0030 0.0060  2 Zr 3.11, 8 Ho 3.15-3.32



Record 4
A relaxed structure of DyHoZr2, computed with PBE.

Total moment ... 0.00 μB per formula unit
Uncorrected energy ... -51.904 eV per cell
ΔE_f ... 31 kJ/mol of formula units
Polymorph energy (0 for the lowest one) ... 0.00 eV/f.u.

a b c (Å): 3.3680 5.9256 11.3037
angles (deg): 74.55 98.51 89.96
With the nearest neighbours (Å) after each atom.
Sites, in units of the cell vectors:
Dy: 0.0000 0.5000 0.5000  6 Dy 3.37-3.41, 4 Zr 3.45, 2 Ho 3.45
Dy: 0.5000 0.0000 0.5000  6 Dy 3.37-3.41, 2 Zr 3.43, 4 Ho 3.45
Ho: 0.1318 0.6976 0.7637  7 Zr 3.23-3.44, 2 Ho 3.37, 3 Dy 3.45
Ho: 0.8682 0.3024 0.2363  7 Zr 3.23-3.44, 2 Ho 3.37, 3 Dy 3.45
Zr: 0.7527 0.7679 0.0061  7 Zr 3.14-3.37, 3 Ho 3.23-3.31
Zr: 0.2473 0.2321 0.9939  7 Zr 3.14-3.37, 3 Ho 3.23-3.31
Zr: 0.6312 0.1919 0.7629  5 Zr 3.14-3.37, 4 Ho 3.38-3.44, 3 Dy 3.43-3.45
Zr: 0.3688 0.8081 0.2371  5 Zr 3.14-3.37, 4 Ho 3.38-3.44, 3 Dy 3.43-3.45



Record 5
A relaxed structure of DyHo4Zr, computed with PBE.

Total moment ... 0.00 μB per formula unit
Uncorrected energy ... -31.127 eV per cell
ΔE_f ... 32 kJ/mol of formula units
Polymorph energy (0 for the lowest one) ... 0.00 eV/f.u.

a b c (Å): 3.4591 9.1576 7.7995
angles (deg): 126.62 63.51 100.98
With the nearest neighbours (Å) after each atom.
Sites, in units of the cell vectors:
Dy: 0.5000 0.0000 0.4999  8 Ho 3.43-3.45, 2 Dy 3.46, 2 Zr 3.49
Ho: 0.8208 0.6796 0.5195  8 Ho 3.35-3.63, 2 Zr 3.36, 2 Dy 3.43
Ho: 0.1791 0.3204 0.4805  8 Ho 3.35-3.63, 2 Zr 3.36, 2 Dy 3.43
Ho: 0.3403 0.6770 0.9975  8 Ho 3.35-3.65, 2 Zr 3.37, 2 Dy 3.44-3.45
Ho: 0.6597 0.3229 0.0025  8 Ho 3.35-3.65, 2 Zr 3.37, 2 Dy 3.44-3.45
Zr: 0.9999 0.0000 0.0000  8 Ho 3.36-3.37, 2 Zr 3.46, 2 Dy 3.49



Record 6
A relaxed structure of Dy5Ho4Zr, computed with PBE.

Total moment ... 0.00 μB per formula unit
Uncorrected energy ... -47.339 eV per cell
ΔE_f ... 244 kJ/mol of formula units
Polymorph energy (0 for the lowest one) ... 1.35 eV/f.u.

a b c (Å): 5.8806 7.8908 7.8908
angles (deg): 82.02 68.12 68.12
With the nearest neighbours (Å) after each atom.
Sites, in units of the cell vectors:
Dy: 0.7845 0.3689 0.9999  1 Zr 3.06, 1 Dy 3.22, 2 Ho 3.27
Dy: 0.1534 0.9999 0.6311  1 Zr 3.06, 1 Dy 3.22, 2 Ho 3.27
Dy: 0.7844 0.0001 0.3689  1 Zr 3.06, 1 Dy 3.22, 2 Ho 3.27
Dy: 0.1533 0.6311 0.0001  1 Zr 3.06, 1 Dy 3.22, 2 Ho 3.27
Dy: 0.6721 0.0000 0.0000  1 Zr 2.70
Ho: 0.4375 0.3213 0.6788  5 Dy 3.27-3.64, 1 Zr 3.58
Ho: 0.7588 0.6788 0.6787  5 Dy 3.27-3.64, 1 Zr 3.58
Ho: 0.1163 0.3212 0.3213  5 Dy 3.27-3.64, 1 Zr 3.58
Ho: 0.4376 0.6787 0.3212  5 Dy 3.27-3.64, 1 Zr 3.58
Zr: 0.2124 0.0000 0.0000  1 Dy 2.70



Record 7
A relaxed structure of DyHo3Zr, computed with PBE.

Total moment ... 0.00 μB per formula unit
Uncorrected energy ... -53.113 eV per cell
ΔE_f ... 32 kJ/mol of formula units
Polymorph energy (0 for the lowest one) ... 0.02 eV/f.u.

a b c (Å): 7.7422 10.2814 7.6570
angles (deg): 144.69 72.74 121.35
With the nearest neighbours (Å) after each atom.
Sites, in units of the cell vectors:
Dy: 0.8535 0.5551 0.4566  8 Ho 3.37-3.55, 1 Dy 3.42, 3 Zr 3.42-3.53
Dy: 0.1465 0.4449 0.5434  8 Ho 3.37-3.55, 1 Dy 3.42, 3 Zr 3.42-3.53
Ho: 0.2399 0.7486 0.2519  3 Zr 3.35-3.46, 7 Ho 3.37-3.57, 2 Dy 3.39-3.47
Ho: 0.6628 0.9479 0.0432  4 Dy 3.37-3.55, 2 Zr 3.42, 6 Ho 3.45-3.59
Ho: 0.5574 0.6548 0.3488  3 Zr 3.34-3.57, 7 Ho 3.40-3.57, 2 Dy 3.45-3.51
Ho: 0.4426 0.3452 0.6512  3 Zr 3.34-3.57, 7 Ho 3.40-3.57, 2 Dy 3.45-3.51
Ho: 0.7601 0.2514 0.7481  3 Zr 3.35-3.46, 7 Ho 3.37-3.57, 2 Dy 3.39-3.47
Ho: 0.3372 0.0521 0.9568  4 Dy 3.37-3.55, 2 Zr 3.42, 6 Ho 3.45-3.59
Zr: 0.0460 0.1387 0.8272  1 Zr 3.23, 8 Ho 3.34-3.57, 3 Dy 3.42-3.53
Zr: 0.9540 0.8613 0.1728  1 Zr 3.23, 8 Ho 3.34-3.57, 3 Dy 3.42-3.53



Record 8
A relaxed structure of Dy2Ho8Zr, computed with PBE.

Total moment ... 0.01 μB per formula unit
Uncorrected energy ... -52.072 eV per cell
ΔE_f ... 222 kJ/mol of formula units
Polymorph energy (0 for the lowest one) ... 1.85 eV/f.u.

a b c (Å): 6.5441 9.8929 9.8929
angles (deg): 38.14 61.21 61.21
With the nearest neighbours (Å) after each atom.
Sites, in units of the cell vectors:
Dy: 0.5493 0.8150 0.8150  9 Ho 3.31-3.69, 1 Zr 3.50
Dy: 0.4507 0.1850 0.1850  9 Ho 3.31-3.69, 1 Zr 3.50
Ho: 0.2278 0.3363 0.8241  1 Zr 3.08, 5 Ho 3.15-3.43, 1 Dy 3.41
Ho: 0.7722 0.1759 0.6637  1 Zr 3.08, 5 Ho 3.15-3.43, 1 Dy 3.41
Ho: 0.1549 0.7544 0.7544  5 Ho 3.27-3.43, 4 Dy 3.31-3.65
Ho: 0.8451 0.2456 0.2456  5 Ho 3.27-3.43, 4 Dy 3.31-3.65
Ho: 0.2278 0.8241 0.3363  1 Zr 3.08, 5 Ho 3.15-3.43, 1 Dy 3.41
Ho: 0.7722 0.6637 0.1759  1 Zr 3.08, 5 Ho 3.15-3.43, 1 Dy 3.41
Ho: 0.7286 0.5934 0.5934  8 Ho 3.41-3.76, 2 Zr 3.67, 3 Dy 3.68-3.69
Ho: 0.2714 0.4066 0.4066  8 Ho 3.41-3.76, 2 Zr 3.67, 3 Dy 3.68-3.69
Zr: 0.0000 0.0000 0.0000  4 Ho 3.08



Record 9
A relaxed structure of Dy5Ho4Zr, computed with PBE.

Total moment ... 0.00 μB per formula unit
Uncorrected energy ... -48.684 eV per cell
ΔE_f ... 114 kJ/mol of formula units
Polymorph energy (0 for the lowest one) ... 0.00 eV/f.u.

a b c (Å): 3.4242 10.7346 8.8940
angles (deg): 73.50 101.10 90.00
With the nearest neighbours (Å) after each atom.
Sites, in units of the cell vectors:
Dy: 0.7947 0.5989 0.5893  7 Dy 3.37-3.64, 2 Ho 3.37-3.45
Dy: 0.8966 0.2799 0.7932  3 Ho 3.25-3.46, 3 Dy 3.37-3.42, 2 Zr 3.48
Dy: 0.1034 0.7201 0.2068  3 Ho 3.25-3.46, 3 Dy 3.37-3.42, 2 Zr 3.48
Dy: 0.5000 0.5000 0.0000  10 Dy 3.42-3.83, 4 Ho 3.69
Dy: 0.2053 0.4011 0.4107  7 Dy 3.37-3.64, 2 Ho 3.37-3.45
Ho: 0.3059 0.0813 0.6117  1 Zr 3.25, 3 Dy 3.37-3.46, 7 Ho 3.39-3.59
Ho: 0.9090 0.8128 0.8180  2 Dy 3.25-3.45, 2 Zr 3.37, 5 Ho 3.39-3.59
Ho: 0.6941 0.9187 0.3883  1 Zr 3.25, 3 Dy 3.37-3.46, 7 Ho 3.39-3.59
Ho: 0.0910 0.1872 0.1820  2 Dy 3.25-3.45, 2 Zr 3.37, 5 Ho 3.39-3.59
Zr: 0.5000 0.0000 0.0000  6 Ho 3.25-3.37, 2 Zr 3.42, 4 Dy 3.48